## 1
Computed, not measured: CdGaCo3 at its PBEsol-relaxed geometry at the SCAN level of DFT.

Properties
crystal system	cubic
symmetry	Pm-3m (221)

Cell lengths 4.602, 4.602, 4.602 Å; angles 90.00, 90.00, 90.00 degrees
Fractional coordinates of all 5 atoms:
Cd: 0.000 0.000 0.000
Ga: 0.500 0.500 0.500
Co: 0.000 0.000 0.500
Co: 0.000 0.500 0.000
Co: 0.500 0.000 0.000

## 2
Computed, not measured: CdGaCo3 at its PBEsol-relaxed geometry at the SCAN level of DFT.

Properties
crystal system	cubic
symmetry	Pm-3m (221)

Cell lengths 4.290, 4.290, 4.290 Å; angles 90.00, 90.00, 90.00 degrees
Fractional coordinates of all 5 atoms:
Cd: 0.000 0.000 0.000
Ga: 0.500 0.500 0.500
Co: 0.000 0.500 0.500
Co: 0.500 0.000 0.500
Co: 0.500 0.500 0.000

Which of them is the least stable? Correct choice: 1.

## 1
Computed, not measured: CdCoNi2 at its PBEsol-relaxed geometry at the SCAN level of DFT.

Properties
crystal system	tetragonal
symmetry	P4mm (99)

Cell lengths 2.705, 2.705, 6.810 Å; angles 90.00, 90.00, 90.00 degrees
Fractional coordinates of all 4 atoms:
Cd: 0.000 0.000 0.000
Co: 0.500 0.500 0.293
Ni: 0.000 0.000 0.499
Ni: 0.500 0.500 0.718

## 2
Computed, not measured: CdCoNi2 at its PBEsol-relaxed geometry at the SCAN level of DFT.

Properties
crystal system	orthorhombic
symmetry	Cmmm (65)

Cell lengths 5.273, 7.151, 2.644 Å; angles 90.00, 90.00, 90.00 degrees
Fractional coordinates of all 8 atoms:
Cd: 0.000 0.000 0.000
Cd: 0.500 0.500 0.000
Co: 0.000 0.500 0.000
Co: 0.500 0.000 0.000
Ni: 0.250 0.250 0.500
Ni: 0.250 0.750 0.500
Ni: 0.750 0.250 0.500
Ni: 0.750 0.750 0.500

## 3
Computed, not measured: CdCoNi2 at its PBEsol-relaxed geometry at the SCAN level of DFT.

Properties
crystal system	monoclinic
symmetry	Cm (8)

Cell lengths 8.463, 2.632, 4.570 Å; angles 90.00, 100.82, 90.00 degrees
Fractional coordinates of all 8 atoms:
Cd: 0.000 0.000 0.000
Cd: 0.500 0.500 0.000
Co: 0.239 0.000 0.700
Co: 0.739 0.500 0.700
Ni: 0.000 0.500 0.503
Ni: 0.258 0.500 0.268
Ni: 0.500 0.000 0.503
Ni: 0.758 0.000 0.268

Which of them is the least stable? Correct choice: 3.

## 1
Computed, not measured: CdCo3Tc at its PBEsol-relaxed geometry at the SCAN level of DFT.

Properties
crystal system	cubic
symmetry	Pm-3m (221)

Cell lengths 4.480, 4.480, 4.480 Å; angles 90.00, 90.00, 90.00 degrees
Fractional coordinates of all 5 atoms:
Cd: 0.000 0.000 0.000
Co: 0.000 0.000 0.500
Co: 0.000 0.500 0.000
Co: 0.500 0.000 0.000
Tc: 0.500 0.500 0.500

## 2
Computed, not measured: CdCo3Tc at its PBEsol-relaxed geometry at the SCAN level of DFT.

Properties
crystal system	cubic
symmetry	Pm-3m (221)

Cell lengths 4.333, 4.333, 4.333 Å; angles 90.00, 90.00, 90.00 degrees
Fractional coordinates of all 5 atoms:
Cd: 0.000 0.000 0.000
Co: 0.000 0.500 0.500
Co: 0.500 0.000 0.500
Co: 0.500 0.500 0.000
Tc: 0.500 0.500 0.500

Which of them is the least stable? Correct choice: 1.

## 1
Computed, not measured: CdCo2Te at its PBEsol-relaxed geometry at the SCAN level of DFT.

Properties
crystal system	tetragonal
symmetry	I-42d (122)

Cell lengths 6.815, 6.815, 5.768 Å; angles 90.00, 90.00, 90.00 degrees
Fractional coordinates of all 16 atoms:
Cd: 0.000 0.000 0.000
Cd: 0.000 0.500 0.250
Cd: 0.500 0.000 0.750
Cd: 0.500 0.500 0.500
Co: 0.220 0.750 0.625
Co: 0.250 0.220 0.375
Co: 0.250 0.280 0.875
Co: 0.280 0.750 0.125
Co: 0.720 0.250 0.125
Co: 0.750 0.720 0.875
Co: 0.750 0.780 0.375
Co: 0.780 0.250 0.625
Te: 0.000 0.000 0.500
Te: 0.000 0.500 0.750
Te: 0.500 0.000 0.250
Te: 0.500 0.500 0.000

## 2
Computed, not measured: CdCo2Te at its PBEsol-relaxed geometry at the SCAN level of DFT.

Properties
crystal system	orthorhombic
symmetry	Amm2 (38)

Cell lengths 3.831, 3.542, 9.413 Å; angles 90.00, 90.00, 90.00 degrees
Fractional coordinates of all 8 atoms:
Cd: 0.000 0.000 0.000
Cd: 0.000 0.500 0.500
Co: 0.000 0.000 0.716
Co: 0.000 0.500 0.216
Co: 0.500 0.000 0.575
Co: 0.500 0.500 0.075
Te: 0.500 0.000 0.290
Te: 0.500 0.500 0.790

Which of them is the least stable? Correct choice: 1.

## 1
Computed, not measured: Tl2CdCo at its PBEsol-relaxed geometry at the SCAN level of DFT.

Properties
crystal system	monoclinic
symmetry	C2/m (12)

Cell lengths 6.183, 9.390, 3.303 Å; angles 90.00, 119.83, 90.00 degrees
Fractional coordinates of all 8 atoms:
Tl: 0.250 0.250 0.000
Tl: 0.250 0.750 0.000
Tl: 0.750 0.250 0.000
Tl: 0.750 0.750 0.000
Cd: 0.000 0.000 0.500
Cd: 0.500 0.500 0.500
Co: 0.000 0.500 0.500
Co: 0.500 0.000 0.500

## 2
Computed, not measured: Tl2CdCo at its PBEsol-relaxed geometry at the SCAN level of DFT.

Properties
crystal system	orthorhombic
symmetry	Imm2 (44)

Cell lengths 2.960, 4.360, 12.892 Å; angles 90.00, 90.00, 90.00 degrees
Fractional coordinates of all 8 atoms:
Tl: 0.000 0.000 0.000
Tl: 0.000 0.500 0.189
Tl: 0.500 0.000 0.689
Tl: 0.500 0.500 0.500
Cd: 0.000 0.500 0.827
Cd: 0.500 0.000 0.327
Co: 0.000 0.000 0.504
Co: 0.500 0.500 0.004

Which of them is the least stable? Correct choice: 1.

## 1
Computed, not measured: Cd2CoW at its PBEsol-relaxed geometry at the SCAN level of DFT.

Properties
crystal system	trigonal
symmetry	R-3m (166)

Cell lengths 2.817, 2.817, 28.061 Å; angles 90.00, 90.00, 120.00 degrees
Fractional coordinates of all 12 atoms:
Cd: 0.000 0.000 0.244
Cd: 0.000 0.000 0.756
Cd: 0.333 0.667 0.422
Cd: 0.333 0.667 0.911
Cd: 0.667 0.333 0.089
Cd: 0.667 0.333 0.578
Co: 0.000 0.000 0.500
Co: 0.333 0.667 0.167
Co: 0.667 0.333 0.833
W: 0.000 0.000 0.000
W: 0.333 0.667 0.667
W: 0.667 0.333 0.333

## 2
Computed, not measured: Cd2CoW at its PBEsol-relaxed geometry at the SCAN level of DFT.

Properties
crystal system	tetragonal
symmetry	P4/mmm (123)

Cell lengths 3.854, 3.854, 4.296 Å; angles 90.00, 90.00, 90.00 degrees
Fractional coordinates of all 4 atoms:
Cd: 0.000 0.500 0.000
Cd: 0.500 0.000 0.000
Co: 0.000 0.000 0.500
W: 0.500 0.500 0.500

Which of them is the least stable? Correct choice: 2.

## 1
Computed, not measured: ZrCd3Co at its PBEsol-relaxed geometry at the SCAN level of DFT.

Properties
crystal system	cubic
symmetry	Pm-3m (221)

Cell lengths 4.732, 4.732, 4.732 Å; angles 90.00, 90.00, 90.00 degrees
Fractional coordinates of all 5 atoms:
Zr: 0.000 0.000 0.000
Cd: 0.000 0.500 0.500
Cd: 0.500 0.000 0.500
Cd: 0.500 0.500 0.000
Co: 0.500 0.500 0.500

## 2
Computed, not measured: ZrCd3Co at its PBEsol-relaxed geometry at the SCAN level of DFT.

Properties
crystal system	cubic
symmetry	Pm-3m (221)

Cell lengths 5.418, 5.418, 5.418 Å; angles 90.00, 90.00, 90.00 degrees
Fractional coordinates of all 5 atoms:
Zr: 0.000 0.000 0.000
Cd: 0.000 0.000 0.500
Cd: 0.000 0.500 0.000
Cd: 0.500 0.000 0.000
Co: 0.500 0.500 0.500

Which of them is the least stable? Correct choice: 2.

## 1
Computed, not measured: Cr3Cd at its PBEsol-relaxed geometry at the SCAN level of DFT.

Properties
crystal system	cubic
symmetry	Pm-3m (221)

Cell lengths 3.731, 3.731, 3.731 Å; angles 90.00, 90.00, 90.00 degrees
Fractional coordinates of all 4 atoms:
Cr: 0.000 0.000 0.500
Cr: 0.000 0.500 0.000
Cr: 0.500 0.000 0.000
Cd: 0.500 0.500 0.500

## 2
Computed, not measured: Cr3Cd at its PBEsol-relaxed geometry at the SCAN level of DFT.

Properties
crystal system	trigonal
symmetry	R-3m (166)

Cell lengths 2.756, 2.756, 24.671 Å; angles 90.00, 90.00, 120.00 degrees
Fractional coordinates of all 12 atoms:
Cr: 0.000 0.000 0.000
Cr: 0.000 0.000 0.264
Cr: 0.000 0.000 0.736
Cr: 0.333 0.667 0.403
Cr: 0.333 0.667 0.667
Cr: 0.333 0.667 0.931
Cr: 0.667 0.333 0.069
Cr: 0.667 0.333 0.333
Cr: 0.667 0.333 0.597
Cd: 0.000 0.000 0.500
Cd: 0.333 0.667 0.167
Cd: 0.667 0.333 0.833

Which of them is the least stable? Correct choice: 1.

## 1
Computed, not measured: CrCdFe at its PBEsol-relaxed geometry at the SCAN level of DFT.

Properties
crystal system	tetragonal
symmetry	I4mm (107)

Cell lengths 2.757, 2.757, 10.586 Å; angles 90.00, 90.00, 90.00 degrees
Fractional coordinates of all 6 atoms:
Cr: 0.000 0.000 0.000
Cr: 0.500 0.500 0.500
Cd: 0.000 0.000 0.301
Cd: 0.500 0.500 0.801
Fe: 0.000 0.000 0.612
Fe: 0.500 0.500 0.112

## 2
Computed, not measured: CrCdFe at its PBEsol-relaxed geometry at the SCAN level of DFT.

Properties
crystal system	orthorhombic
symmetry	Fmm2 (42)

Cell lengths 2.999, 4.285, 12.869 Å; angles 90.00, 90.00, 90.00 degrees
Fractional coordinates of all 12 atoms:
Cr: 0.000 0.000 0.000
Cr: 0.000 0.500 0.500
Cr: 0.500 0.000 0.500
Cr: 0.500 0.500 0.000
Cd: 0.000 0.000 0.315
Cd: 0.000 0.500 0.815
Cd: 0.500 0.000 0.815
Cd: 0.500 0.500 0.315
Fe: 0.000 0.000 0.634
Fe: 0.000 0.500 0.134
Fe: 0.500 0.000 0.134
Fe: 0.500 0.500 0.634

Which of them is the least stable? Correct choice: 2.

## 1
Computed, not measured: CrCd2Fe at its PBEsol-relaxed geometry at the SCAN level of DFT.

Properties
crystal system	tetragonal
symmetry	I-4m2 (119)

Cell lengths 3.997, 3.997, 8.028 Å; angles 90.00, 90.00, 90.00 degrees
Fractional coordinates of all 8 atoms:
Cr: 0.000 0.000 0.000
Cr: 0.500 0.500 0.500
Cd: 0.000 0.000 0.500
Cd: 0.000 0.500 0.750
Cd: 0.500 0.000 0.250
Cd: 0.500 0.500 0.000
Fe: 0.000 0.500 0.250
Fe: 0.500 0.000 0.750

## 2
Computed, not measured: CrCd2Fe at its PBEsol-relaxed geometry at the SCAN level of DFT.

Properties
crystal system	tetragonal
symmetry	I4/mmm (139)

Cell lengths 4.059, 4.059, 7.728 Å; angles 90.00, 90.00, 90.00 degrees
Fractional coordinates of all 8 atoms:
Cr: 0.000 0.000 0.000
Cr: 0.500 0.500 0.500
Cd: 0.000 0.500 0.250
Cd: 0.000 0.500 0.750
Cd: 0.500 0.000 0.250
Cd: 0.500 0.000 0.750
Fe: 0.000 0.000 0.500
Fe: 0.500 0.500 0.000

Which of them is the least stable? Correct choice: 1.

## 1
Computed, not measured: MnCrCd2 at its PBEsol-relaxed geometry at the SCAN level of DFT.

Properties
crystal system	orthorhombic
symmetry	Pmmm (47)

Cell lengths 2.965, 3.862, 5.934 Å; angles 90.00, 90.00, 90.00 degrees
Fractional coordinates of all 4 atoms:
Mn: 0.000 0.000 0.000
Cr: 0.000 0.000 0.500
Cd: 0.500 0.500 0.248
Cd: 0.500 0.500 0.752

## 2
Computed, not measured: MnCrCd2 at its PBEsol-relaxed geometry at the SCAN level of DFT.

Properties
crystal system	tetragonal
symmetry	P4/mmm (123)

Cell lengths 4.613, 4.613, 3.217 Å; angles 90.00, 90.00, 90.00 degrees
Fractional coordinates of all 4 atoms:
Mn: 0.000 0.000 0.000
Cr: 0.500 0.500 0.000
Cd: 0.000 0.500 0.500
Cd: 0.500 0.000 0.500

Which of them is the least stable? Correct choice: 1.

## 1
Computed, not measured: CrCd2Mo at its PBEsol-relaxed geometry at the SCAN level of DFT.

Properties
crystal system	tetragonal
symmetry	P4mm (99)

Cell lengths 3.097, 3.097, 6.965 Å; angles 90.00, 90.00, 90.00 degrees
Fractional coordinates of all 4 atoms:
Cr: 0.000 0.000 0.000
Cd: 0.000 0.000 0.442
Cd: 0.500 0.500 0.732
Mo: 0.500 0.500 0.156

## 2
Computed, not measured: CrCd2Mo at its PBEsol-relaxed geometry at the SCAN level of DFT.

Properties
crystal system	monoclinic
symmetry	C2/m (12)

Cell lengths 9.845, 2.835, 4.882 Å; angles 90.00, 100.18, 90.00 degrees
Fractional coordinates of all 8 atoms:
Cr: 0.000 0.000 0.000
Cr: 0.500 0.500 0.000
Cd: 0.247 0.500 0.248
Cd: 0.253 0.000 0.752
Cd: 0.747 0.000 0.248
Cd: 0.753 0.500 0.752
Mo: 0.000 0.500 0.500
Mo: 0.500 0.000 0.500

Which of them is the least stable? Correct choice: 2.

## 1
Computed, not measured: CrCdO4 at its PBEsol-relaxed geometry at the SCAN level of DFT.

Properties
crystal system	monoclinic
symmetry	C2/m (12)

Cell lengths 7.115, 7.115, 7.078 Å; angles 98.73, 98.73, 85.87 degrees
Fractional coordinates of all 24 atoms:
Cr: 0.226 0.226 0.581
Cr: 0.246 0.754 0.000
Cr: 0.754 0.246 0.000
Cr: 0.774 0.774 0.419
Cd: 0.288 0.288 0.126
Cd: 0.314 0.686 0.500
Cd: 0.686 0.314 0.500
Cd: 0.712 0.712 0.874
O: 0.002 0.280 0.518
O: 0.028 0.724 0.899
O: 0.276 0.972 0.101
O: 0.280 0.002 0.518
O: 0.284 0.284 0.812
O: 0.298 0.613 0.173
O: 0.355 0.355 0.461
O: 0.387 0.702 0.827
O: 0.613 0.298 0.173
O: 0.645 0.645 0.539
O: 0.702 0.387 0.827
O: 0.716 0.716 0.188
O: 0.720 0.998 0.482
O: 0.724 0.028 0.899
O: 0.972 0.276 0.101
O: 0.998 0.720 0.482

## 2
Computed, not measured: CrCdO4 at its PBEsol-relaxed geometry at the SCAN level of DFT.

Properties
crystal system	orthorhombic
symmetry	Cmcm (63)

Cell lengths 5.208, 5.208, 6.957 Å; angles 90.00, 90.00, 114.13 degrees
Fractional coordinates of all 12 atoms:
Cr: 0.141 0.859 0.750
Cr: 0.859 0.141 0.250
Cd: 0.500 0.500 0.000
Cd: 0.500 0.500 0.500
O: 0.213 0.275 0.250
O: 0.246 0.754 0.559
O: 0.246 0.754 0.941
O: 0.275 0.213 0.750
O: 0.725 0.787 0.250
O: 0.754 0.246 0.059
O: 0.754 0.246 0.441
O: 0.787 0.725 0.750

Which of them is the least stable? Correct choice: 1.

## 1
Computed, not measured: CrCd2Os at its PBEsol-relaxed geometry at the SCAN level of DFT.

Properties
crystal system	monoclinic
symmetry	C2/m (12)

Cell lengths 5.446, 9.521, 2.782 Å; angles 90.00, 114.92, 90.00 degrees
Fractional coordinates of all 8 atoms:
Cr: 0.000 0.000 0.000
Cr: 0.500 0.500 0.000
Cd: 0.250 0.250 0.500
Cd: 0.250 0.750 0.500
Cd: 0.750 0.250 0.500
Cd: 0.750 0.750 0.500
Os: 0.000 0.500 0.000
Os: 0.500 0.000 0.000

## 2
Computed, not measured: CrCd2Os at its PBEsol-relaxed geometry at the SCAN level of DFT.

Properties
crystal system	tetragonal
symmetry	I4/mmm (139)

Cell lengths 3.886, 3.886, 8.577 Å; angles 90.00, 90.00, 90.00 degrees
Fractional coordinates of all 8 atoms:
Cr: 0.000 0.000 0.000
Cr: 0.500 0.500 0.500
Cd: 0.000 0.500 0.250
Cd: 0.000 0.500 0.750
Cd: 0.500 0.000 0.250
Cd: 0.500 0.000 0.750
Os: 0.000 0.000 0.500
Os: 0.500 0.500 0.000

Which of them is the least stable? Correct choice: 1.